This record from Alexandria via LeMat-Bulk describes Tb4Eu2N after structural relaxation. The functional is PBE.

Cell: 9.849 9.849 9.849 Å, 151.08 151.08 41.36°
Element x y z (fractional)
Tb (0.000, 0.500, 0.500)
Tb (0.125, 0.125, 0.000)
Tb (0.500, 0.000, 0.500)
Tb (0.875, 0.875, 0.000)
Eu (0.328, 0.328, 0.000)
Eu (0.672, 0.672, 0.000)
N (0.000, 0.000, 0.000)

***

This record from Alexandria via LeMat-Bulk describes Tb3EuN after structural relaxation. The functional is PBE.

Cell: 5.031 5.031 5.031 Å, 90.00 90.00 90.00°
Element x y z (fractional)
Tb (0.000, 0.000, 0.500)
Tb (0.000, 0.500, 0.000)
Tb (0.500, 0.000, 0.000)
Eu (0.500, 0.500, 0.500)
N (0.000, 0.000, 0.000)

***

This record from Alexandria via LeMat-Bulk describes TbEuN after structural relaxation. The functional is PBE.

Cell: 3.589 3.589 6.349 Å, 90.00 90.00 120.00°
Element x y z (fractional)
Tb (0.000, 0.000, 0.000)
Eu (0.667, 0.333, 0.564)
N (0.333, 0.667, 0.826)

***

This record from Alexandria via LeMat-Bulk describes TbEuN after structural relaxation. The functional is PBE.

Cell: 6.783 6.783 6.783 Å, 152.22 152.22 39.69°
Element x y z (fractional)
Tb (0.000, 0.000, 0.000)
Eu (0.760, 0.760, 0.000)
N (0.444, 0.444, 0.000)

***

This record from Alexandria via LeMat-Bulk describes Tb2EuN after structural relaxation. The functional is PBE.

Cell: 9.865 9.865 9.865 Å, 20.53 20.53 20.53°
Element x y z (fractional)
Tb (0.121, 0.121, 0.121)
Tb (0.879, 0.879, 0.879)
Eu (0.000, 0.000, 0.000)
N (0.500, 0.500, 0.500)

***

This record from Alexandria via LeMat-Bulk describes TbEu2N after structural relaxation. The functional is PBE.

Cell: 10.192 10.192 10.192 Å, 20.10 20.10 20.10°
Element x y z (fractional)
Tb (0.000, 0.000, 0.000)
Eu (0.120, 0.120, 0.120)
Eu (0.880, 0.880, 0.880)
N (0.500, 0.500, 0.500)

***

This record from Alexandria via LeMat-Bulk describes Eu2TcN after structural relaxation. The functional is PBE.

Cell: 4.620 4.620 4.620 Å, 70.62 70.62 70.62°
Element x y z (fractional)
Eu (0.224, 0.224, 0.224)
Eu (0.776, 0.776, 0.776)
Tc (0.500, 0.500, 0.500)
N (0.000, 0.000, 0.000)

***

This record from Alexandria via LeMat-Bulk describes EuThN after structural relaxation. The functional is PBE.

Cell: 7.353 7.353 7.353 Å, 153.27 153.27 38.17°
Element x y z (fractional)
Eu (0.000, 0.000, 0.000)
Th (0.281, 0.281, 0.000)
N (0.819, 0.819, 0.000)

***

This record from Alexandria via LeMat-Bulk describes Eu2ThN after structural relaxation. The functional is PBE.

Cell: 10.394 10.394 10.394 Å, 19.52 19.52 19.52°
Element x y z (fractional)
Eu (0.120, 0.120, 0.120)
Eu (0.880, 0.880, 0.880)
Th (0.000, 0.000, 0.000)
N (0.500, 0.500, 0.500)

***

This record from Alexandria via LeMat-Bulk describes EuThN after structural relaxation. The functional is PBE.

Cell: 3.598 3.598 6.492 Å, 90.00 90.00 120.00°
Element x y z (fractional)
Eu (0.000, 0.000, 0.000)
Th (0.667, 0.333, 0.558)
N (0.333, 0.667, 0.763)

***

This record from Alexandria via LeMat-Bulk describes Eu2TlN after structural relaxation. The functional is PBE.

Cell: 3.238 3.238 8.485 Å, 90.00 90.00 90.00°
Element x y z (fractional)
Eu (0.000, 0.000, 0.166)
Eu (0.000, 0.000, 0.834)
Tl (0.500, 0.500, 0.500)
N (0.500, 0.500, 0.000)

***

This record from Alexandria via LeMat-Bulk describes Eu2TlN after structural relaxation. The functional is PBE.

Cell: 8.868 8.868 8.868 Å, 23.72 23.72 23.72°
Element x y z (fractional)
Eu (0.220, 0.220, 0.220)
Eu (0.780, 0.780, 0.780)
Tl (0.000, 0.000, 0.000)
N (0.500, 0.500, 0.500)

***

Let's list total energy in order: -7.02; -6.94; -8.63; -8.20; -7.64; -8.80; -9.04; -9.36; -9.46; -9.44; -8.21; -8.49 eV/atom.